1.
## AcAlPIr6 (PBE)

Data for AcAlPIr6 after structural relaxation.

Summary:
Its density of states at the Fermi level is 16.2 states/eV per cell. Its space group is Imma, No. 74. Its final energy is -133.2 eV for the cell shown. The calculation puts the formation energy at -18 meV/atom.

Lattice parameters (Å, degrees): 8.0465 8.0465 8.0465 135.38 108.57 88.26
Fractional positions:
Ac1 0.4267 0.1767 0.2500
Ac2 0.5733 0.8233 0.7500
Al1 0.0000 0.0000 0.5000
Al2 0.0000 0.5000 0.0000
P1 0.0000 0.5000 0.5000
P2 0.5000 0.5000 0.0000
Ir1 0.1112 0.3653 0.2127
Ir2 0.1112 0.8985 0.7459
Ir3 0.1596 0.9096 0.2500
Ir4 0.3129 0.5629 0.7500
Ir5 0.3474 0.1015 0.7127
Ir6 0.3474 0.6347 0.2459
Ir7 0.6526 0.3653 0.7541
Ir8 0.6526 0.8985 0.2873
Ir9 0.6871 0.4371 0.2500
Ir10 0.8404 0.0904 0.7500
Ir11 0.8888 0.1015 0.2541
Ir12 0.8888 0.6347 0.7873

***

2.
## Ac2Al4Ir3Pd (PBE)

Data for Ac2Al4Ir3Pd after structural relaxation.

Summary:
Its density of states at the Fermi level is 5.5 states/eV per cell. Its space group is P-4m2, No. 115. Its final energy is -63.4 eV for the cell shown. The calculation puts the formation energy at -841 meV/atom.

Lattice parameters (Å, degrees): 4.3607 4.3607 10.5498 90.00 90.00 90.00
Fractional positions:
Ac1 0.0000 0.5000 0.2477
Ac2 0.5000 0.0000 0.7523
Al1 0.0000 0.0000 0.5000
Al2 0.0000 0.5000 0.8797
Al3 0.5000 0.0000 0.1203
Al4 0.5000 0.5000 0.5000
Ir1 0.0000 0.0000 0.0000
Ir2 0.0000 0.5000 0.6317
Ir3 0.5000 0.0000 0.3683
Pd1 0.5000 0.5000 0.0000

***

3.
## Ac2AlIrPd (PBE)

Data for Ac2AlIrPd after structural relaxation.

Summary:
Its density of states at the Fermi level is 5.9 states/eV per cell. Its space group is P4/nmm, No. 129. Its final energy is -59.0 eV for the cell shown. The calculation puts the formation energy at -698 meV/atom.

Lattice parameters (Å, degrees): 4.3128 4.3128 14.4826 90.00 90.00 90.00
Fractional positions:
Ac1 0.2500 0.2500 0.1009
Ac2 0.2500 0.2500 0.6890
Ac3 0.7500 0.7500 0.3110
Ac4 0.7500 0.7500 0.8991
Al1 0.2500 0.7500 0.5000
Al2 0.7500 0.2500 0.5000
Ir1 0.2500 0.2500 0.8870
Ir2 0.7500 0.7500 0.1130
Pd1 0.2500 0.2500 0.4006
Pd2 0.7500 0.7500 0.5994

***

4.
## AcAl4IrPd2 (PBE)

Data for AcAl4IrPd2 after structural relaxation.

Summary:
Its density of states at the Fermi level is 4.9 states/eV per cell. Its space group is R-3m, No. 166. Its final energy is -44.5 eV for the cell shown. The calculation puts the formation energy at -768 meV/atom.

Lattice parameters (Å, degrees): 9.8337 9.8337 9.8337 25.22 25.22 25.22
Fractional positions:
Ac1 0.0000 0.0000 0.0000
Al1 0.1364 0.1364 0.1364
Al2 0.4103 0.4103 0.4103
Al3 0.5897 0.5897 0.5897
Al4 0.8636 0.8636 0.8636
Ir1 0.5000 0.5000 0.5000
Pd1 0.2294 0.2294 0.2294
Pd2 0.7706 0.7706 0.7706

***

5.
## AcPmAlIr (PBE)

Data for AcPmAlIr after structural relaxation.

Summary:
Its density of states at the Fermi level is 3.6 states/eV per cell. Its space group is F-43m, No. 216. Its final energy is -22.6 eV for the cell shown. The calculation puts the formation energy at -292 meV/atom.

Lattice parameters (Å, degrees): 5.2679 5.2679 5.2679 60.00 60.00 60.00
Fractional positions:
Ac1 0.0000 0.0000 0.0000
Pm1 0.5000 0.5000 0.5000
Al1 0.2500 0.2500 0.2500
Ir1 0.7500 0.7500 0.7500

***

6.
## AcPrAlIr (PBE)

Data for AcPrAlIr after structural relaxation.

Summary:
Its density of states at the Fermi level is 3.6 states/eV per cell. Its space group is F-43m, No. 216. Its final energy is -22.6 eV for the cell shown. The calculation puts the formation energy at -269 meV/atom.

Lattice parameters (Å, degrees): 5.3040 5.3040 5.3040 60.00 60.00 60.00
Fractional positions:
Ac1 0.0000 0.0000 0.0000
Pr1 0.5000 0.5000 0.5000
Al1 0.2500 0.2500 0.2500
Ir1 0.7500 0.7500 0.7500

***

7.
## Ac2Al3IrPt12 (PBE)

Data for Ac2Al3IrPt12 after structural relaxation.

Summary:
Its density of states at the Fermi level is 12.2 states/eV per cell. Its space group is R-3m, No. 166. Its final energy is -109.8 eV for the cell shown. The calculation puts the formation energy at -499 meV/atom.

Lattice parameters (Å, degrees): 9.7236 9.7236 9.7236 41.13 41.13 41.13
Fractional positions:
Ac1 0.1548 0.1548 0.1548
Ac2 0.8452 0.8452 0.8452
Al1 0.0000 0.5000 0.5000
Al2 0.5000 0.0000 0.5000
Al3 0.5000 0.5000 0.0000
Ir1 0.5000 0.5000 0.5000
Pt1 0.0932 0.0932 0.6813
Pt2 0.0932 0.6813 0.0932
Pt3 0.1437 0.5720 0.5720
Pt4 0.3187 0.9068 0.9068
Pt5 0.4280 0.4280 0.8563
Pt6 0.4280 0.8563 0.4280
Pt7 0.5720 0.1437 0.5720
Pt8 0.5720 0.5720 0.1437
Pt9 0.6813 0.0932 0.0932
Pt10 0.8563 0.4280 0.4280
Pt11 0.9068 0.3187 0.9068
Pt12 0.9068 0.9068 0.3187

***

8.
## AcAl3IrPt (PBE)

Data for AcAl3IrPt after structural relaxation.

Summary:
Its density of states at the Fermi level is 4.9 states/eV per cell. Its space group is Cmcm, No. 63. Its final energy is -68.4 eV for the cell shown. The calculation puts the formation energy at -661 meV/atom.

Lattice parameters (Å, degrees): 6.9428 6.9428 6.8065 90.00 90.00 125.64
Fractional positions:
Ac1 0.2373 0.7627 0.7500
Ac2 0.7627 0.2373 0.2500
Al1 0.2064 0.7936 0.2500
Al2 0.2910 0.2910 0.0000
Al3 0.2910 0.2910 0.5000
Al4 0.7090 0.7090 0.0000
Al5 0.7090 0.7090 0.5000
Al6 0.7936 0.2064 0.7500
Ir1 0.3933 0.6067 0.2500
Ir2 0.6067 0.3933 0.7500
Pt1 0.0190 0.9810 0.2500
Pt2 0.9810 0.0190 0.7500

***

9.
## AcAl3IrRh (PBE)

Data for AcAl3IrRh after structural relaxation.

Summary:
Its density of states at the Fermi level is 5.8 states/eV per cell. Its space group is Cmcm, No. 63. Its final energy is -70.3 eV for the cell shown. The calculation puts the formation energy at -597 meV/atom.

Lattice parameters (Å, degrees): 6.7868 6.7868 6.0822 90.00 90.00 111.70
Fractional positions:
Ac1 0.2378 0.7622 0.7500
Ac2 0.7622 0.2378 0.2500
Al1 0.2483 0.2483 0.0000
Al2 0.2483 0.2483 0.5000
Al3 0.2638 0.7362 0.2500
Al4 0.7362 0.2638 0.7500
Al5 0.7517 0.7517 0.0000
Al6 0.7517 0.7517 0.5000
Ir1 0.0566 0.9434 0.2500
Ir2 0.9434 0.0566 0.7500
Rh1 0.4663 0.5337 0.2500
Rh2 0.5337 0.4663 0.7500

***

10.
## AcAl2SiIr2 (PBE)

Data for AcAl2SiIr2 after structural relaxation.

Summary:
Its density of states at the Fermi level is 6.1 states/eV per cell. Its space group is P4/mmm, No. 123. Its final energy is -37.5 eV for the cell shown. Its raw formation energy is -0.46 eV per atom.

Lattice parameters (Å, degrees): 4.5892 4.5892 5.8854 90.00 90.00 90.00
Fractional positions:
Ac1 0.0000 0.0000 0.0000
Al1 0.5000 0.5000 0.2572
Al2 0.5000 0.5000 0.7428
Si1 0.0000 0.0000 0.5000
Ir1 0.0000 0.5000 0.5000
Ir2 0.5000 0.0000 0.5000

***

11.
## Ac2AlSi4Ir3 (PBE)

Data for Ac2AlSi4Ir3 after structural relaxation.

Summary:
Its density of states at the Fermi level is 6.1 states/eV per cell. Its space group is P-4m2, No. 115. Its final energy is -68.4 eV for the cell shown. Its raw formation energy is -0.81 eV per atom.

Lattice parameters (Å, degrees): 4.2988 4.2988 10.2885 90.00 90.00 90.00
Fractional positions:
Ac1 0.0000 0.5000 0.2430
Ac2 0.5000 0.0000 0.7570
Al1 0.0000 0.0000 0.5000
Si1 0.0000 0.0000 0.0000
Si2 0.0000 0.5000 0.6386
Si3 0.5000 0.0000 0.3614
Si4 0.5000 0.5000 0.0000
Ir1 0.0000 0.5000 0.8815
Ir2 0.5000 0.0000 0.1185
Ir3 0.5000 0.5000 0.5000

***

12.
## Ac2AlSiIr2 (PBE)

Data for Ac2AlSiIr2 after structural relaxation.

Summary:
Its density of states at the Fermi level is 10.7 states/eV per cell. Its space group is Ibam, No. 72. Its final energy is -78.8 eV for the cell shown. Its raw formation energy is -0.72 eV per atom.

Lattice parameters (Å, degrees): 8.7047 8.7047 8.7047 139.91 59.05 138.53
Fractional positions:
Ac1 0.1655 0.2470 0.4125
Ac2 0.3345 0.7470 0.0814
Ac3 0.6655 0.2530 0.9186
Ac4 0.8345 0.7530 0.5875
Al1 0.2500 0.2500 0.0000
Al2 0.7500 0.7500 0.0000
Si1 0.2500 0.7500 0.5000
Si2 0.7500 0.2500 0.5000
Ir1 0.0890 0.7350 0.8240
Ir2 0.4110 0.2350 0.6460
Ir3 0.5890 0.7650 0.3540
Ir4 0.9110 0.2650 0.1760